YHg2Ir | Alexandria | PBE | relaxed; DFT formation energy = -0.57 eV per formula unit; offset from the most stable computed form = 119 meV/atom; M_tot = 0.0 μB per cell; space-group type = Fm-3m (225)
1.0
0.000 3.455 3.455
3.455 0.000 3.455
3.455 3.455 0.000
Y Hg Ir
1 2 1
Cartesian
0.000 0.000 0.000
1.728 1.728 1.728
5.183 5.183 5.183
3.455 3.455 3.455